Entry 1:
Compound: YBeInCo
Source: the Open Quantum Materials Database
Functional: PBE
Structure: relaxed

Geometry as POSCAR:
```
YBeInCo
1.0
0.000 3.250 3.250
3.250 0.000 3.250
3.250 3.250 0.000
In Y Co Be
1 1 1 1
Cartesian
0.000 0.000 0.000 In
1.625 1.625 1.625 Y
4.875 4.875 4.875 Co
3.250 3.250 3.250 Be
```

Computed properties:
symmetry: F-43m (216)
E_tot: -19.43 eV/cell
crystal system: cubic

Entry 2:
Compound: GdDyCSe
Source: the Open Quantum Materials Database
Functional: PBE
Structure: relaxed

Geometry as POSCAR:
```
GdDyCSe
1.0
-1.605 -1.844 -2.887
3.038 -1.458 1.720
-7.962 -6.483 8.565
C Se Dy Gd
2 2 2 2
Cartesian
0.000 0.000 0.000 C
-3.981 -3.241 4.282 C
-2.028 -3.319 0.768 Se
-4.502 -6.465 6.630 Se
0.699 -2.230 1.035 Dy
-7.229 -7.554 6.362 Dy
-1.680 -4.168 3.595 Gd
-4.849 -5.617 3.803 Gd
```

Computed properties:
symmetry: P-3m1 (164)
E_tot: -52.96 eV/cell
crystal system: trigonal

Entry 3:
Compound: PrLuSi4Ni2
Source: the Open Quantum Materials Database
Functional: PBE
Structure: relaxed

Geometry as POSCAR:
```
PrLuSi4Ni2
1.0
-2.625 2.428 -1.804
0.937 5.639 6.226
3.768 6.694 3.526
Si Lu Pr Ni
4 1 1 2
Cartesian
-1.113 1.737 -0.488 Si
4.528 11.870 9.386 Si
1.166 3.056 2.416 Si
2.203 10.429 6.385 Si
2.856 7.487 5.921 Lu
0.548 6.090 2.953 Pr
3.855 10.106 7.991 Ni
-0.475 3.410 0.835 Ni
```

Computed properties:
symmetry: Amm2 (38)
E_tot: -48.45 eV/cell
crystal system: orthorhombic

- Among the records above, which one has the lowest E_tot?
  GdDyCSe

- Look up the E_tot of the second one.
  -52.96 eV/cell